This record from Alexandria describes a relaxed RbHf3Ti crystal. The functional is PBE-GGA. Values from VASP.

```
&SYSTEM
  ibrav = 0, nat = 5, ntyp = 3
/
ATOMIC_SPECIES
Hf 178.49 Hf.upf
Ti 47.87 Ti.upf
Rb 85.47 Rb.upf
CELL_PARAMETERS angstrom
-4.4779 1.7463 -1.2802
-0.4146 -3.5778 -3.4304
-2.1253 -2.9816 3.3665
ATOMIC_POSITIONS angstrom
Hf -2.2389 0.8732 -0.6401
Hf -0.2073 -1.7889 -1.7152
Hf -1.0626 -1.4908 1.6833
Ti -3.5089 -2.4065 -0.6721
Rb 0.0000 0.0000 0.0000
```

Output
Calculated density: 9.02 g/cm³
Fermi-level density of states: 1.655 states/eV per atom
Space group: Pm-3m (221)
VASP energy: -27.2 eV/cell
DFT formation energy: 2.30 eV per atom
Distance to the lowest polymorph of the same formula: 5.54 eV per formula unit
Total magnetic moment: 1.0 μB per cell